# 1
RbCuCl3 after structural relaxation, computed with GGA-PBEsol.

The density of states at the Fermi level comes out at 1.2 states/eV/cell. The spin magnetization is 4.06 Bohr magnetons per cell. The calculation puts the final energy at -67.3 eV per cell.

POSCAR file:
```
RbCuCl3
1.0
-0.056 -6.041 1.183
3.810 1.077 5.682
-9.702 1.316 6.256
Cl Cu Rb
12 4 4
Cartesian
-6.017 -2.127 10.821
-4.736 -0.849 5.499
0.068 -1.520 2.301
2.027 -0.194 5.060
-8.274 -0.390 5.622
-3.078 -4.098 5.003
-1.485 -4.335 1.818
-1.517 -0.509 5.334
-2.871 0.450 8.118
-7.976 -3.453 8.062
-1.213 -2.799 7.623
-4.432 -3.138 7.787
0.000 0.000 0.000
-0.028 -3.020 0.592
-2.975 -1.824 6.561
-2.946 1.197 5.969
-6.250 0.133 8.386
-6.456 -3.661 5.023
-3.303 -1.064 2.417
0.301 -3.780 4.736
```

# 2
Rb2CuCl3 after structural relaxation, computed with GGA-PBEsol.

The density of states at the Fermi level comes out at 0.0 states/eV/cell. The spin magnetization is 0.32 Bohr magnetons per cell. The calculation puts the final energy at -84.0 eV per cell.

POSCAR file:
```
Rb2CuCl3
1.0
-3.217 -1.759 1.915
4.361 -11.241 -2.999
6.673 -0.323 10.916
Cl Rb Cu
12 8 4
Cartesian
0.154 -2.043 0.616
2.261 -9.581 1.700
0.424 -3.977 3.760
5.674 -11.058 1.608
5.795 -7.956 9.129
2.023 -5.367 0.703
4.986 -7.792 3.453
2.831 -5.531 6.378
2.144 -2.265 8.223
7.394 -9.346 6.072
7.663 -11.280 9.216
5.556 -3.742 8.132
1.894 -6.904 3.542
4.768 -0.848 9.467
3.107 -2.529 5.131
5.513 -5.318 11.079
4.711 -10.794 4.701
5.923 -6.419 6.289
3.049 -12.475 0.365
2.304 -8.005 -1.248
3.268 -4.280 8.262
6.221 -9.938 8.024
1.597 -3.385 1.808
4.549 -9.043 1.570
```

# 3
RbCuCl2 after structural relaxation, computed with GGA-PBEsol.

The spin magnetization is 0.00 Bohr magnetons per cell. The calculation puts the final energy at -27.9 eV per cell.

POSCAR file:
```
RbCuCl2
1.0
-1.483 4.506 4.219
-1.063 -5.778 2.405
6.162 0.262 -1.505
Rb Cu Cl
2 2 4
Cartesian
0.000 0.000 0.000
0.002 -2.015 3.537
2.550 -2.758 0.450
3.614 1.005 1.582
-1.120 1.056 4.864
3.247 -3.056 2.623
1.644 0.667 2.722
3.461 -0.687 0.031
```

# 4
RbCu2SiCl after structural relaxation, computed with GGA-PBEsol.

The density of states at the Fermi level comes out at 2.9 states/eV/cell. The spin magnetization is 0.00 Bohr magnetons per cell. The calculation puts the final energy at -13.5 eV per cell.

POSCAR file:
```
RbCu2SiCl
1.0
4.559 0.000 0.000
0.000 4.559 0.000
0.000 0.000 5.691
Rb Si Cu Cl
1 1 2 1
Cartesian
0.000 0.000 2.846
2.280 2.280 2.846
0.000 2.280 0.000
2.280 0.000 0.000
0.000 0.000 0.000
```

# 5
Rb2SmCuCl6 after structural relaxation, computed with GGA-PBEsol.

The density of states at the Fermi level comes out at 0.0 states/eV/cell. The spin magnetization is 0.01 Bohr magnetons per cell. The calculation puts the final energy at -41.0 eV per cell.

POSCAR file:
```
Rb2SmCuCl6
1.0
-0.677 -6.744 -2.595
3.619 -5.466 3.113
-3.589 -5.016 3.824
Cl Sm Rb Cu
6 1 2 1
Cartesian
-1.898 -6.879 2.968
-0.494 -7.712 -0.127
-2.224 -10.130 1.717
-0.153 -9.514 4.469
1.251 -10.347 1.374
1.577 -7.096 2.625
0.000 0.000 0.000
-0.485 -12.919 3.257
-0.162 -4.306 1.086
-0.324 -8.613 2.171
```

# 6
CuReCl2 after structural relaxation, computed with GGA-PBEsol.

Its energy above the most stable polymorph in this dataset is 1.57 eV/f.u. The density of states at the Fermi level comes out at 3.8 states/eV/cell. The spin magnetization is 0.00 Bohr magnetons per cell.

POSCAR file:
```
CuReCl2
1.0
-0.749 -2.515 -1.027
0.151 -1.653 3.938
-5.042 3.371 -0.710
Re Cu Cl
1 1 2
Cartesian
-2.661 -0.167 2.351
-0.973 -1.922 1.549
-2.937 -0.640 -0.156
-5.009 -0.950 2.113
```